Entry 1:
First-principles (meta-GGA SCAN) data for Mn2OsCl at its PBEsol-relaxed geometry, as listed in the Alexandria database.

Cell lengths 2.734, 2.734, 6.733 Å; angles 90.00, 90.00, 90.00 degrees
Fractional coordinates of all 4 atoms:
Mn  0.000  0.000  0.747
Mn  0.000  0.000  0.253
Os  0.500  0.500  0.000
Cl  0.500  0.500  0.500

Results
Formation energy (no corrections) ... 0.1502 eV/atom
Total energy ... -28.9418 eV per atom
Crystal system ... tetragonal
Relative energy among the computed polymorphs ... 0.0000 eV/atom
Density ... 11.1 g/cm3
Volume ... 50 Å³/f.u.

Entry 2:
First-principles (meta-GGA SCAN) data for Na2CeO3 at its PBEsol-relaxed geometry, as listed in the Alexandria database.

Cell lengths 4.527, 4.527, 4.650 Å; angles 90.00, 90.00, 90.00 degrees
Fractional coordinates of all 6 atoms:
Na  0.500  0.000  0.500
Na  0.000  0.500  0.500
Ce  0.000  0.000  0.000
O  0.500  0.000  0.000
O  0.000  0.500  0.000
O  0.000  0.000  0.500

Results
Formation energy (no corrections) ... -2.5279 eV/atom
Total energy ... -14.4758 eV per atom
Crystal system ... tetragonal
Density ... 4.1 g/cm3
Volume ... 95 Å³/f.u.

Entry 3:
First-principles (meta-GGA SCAN) data for KTc2Sb at its PBEsol-relaxed geometry, as listed in the Alexandria database.

Cell lengths 3.416, 4.617, 4.617 Å; angles 90.00, 90.00, 90.00 degrees
Fractional coordinates of all 4 atoms:
K  0.500  0.500  0.500
Sb  0.500  0.000  0.000
Tc  0.000  0.000  0.500
Tc  0.000  0.500  0.000

Results
Formation energy (no corrections) ... 1.2337 eV/atom
Total energy ... -27.6936 eV per atom
Crystal system ... tetragonal
Density ... 8.1 g/cm3
Volume ... 73 Å³/f.u.

Entry 4:
First-principles (meta-GGA SCAN) data for Zr4MnPt at its PBEsol-relaxed geometry, as listed in the Alexandria database.

Cell lengths 5.486, 5.486, 5.486 Å; angles 60.00, 60.00, 60.00 degrees
Fractional coordinates of all 6 atoms:
Mn  0.750  0.750  0.750
Pt  0.000  0.000  0.000
Zr  0.375  0.375  0.375
Zr  0.375  0.375  0.875
Zr  0.875  0.375  0.375
Zr  0.375  0.875  0.375

Results
Total energy ... -35.0147 eV per atom
Crystal system ... cubic
Density ... 8.7 g/cm3
Volume ... 117 Å³/f.u.

Entry 5:
First-principles (meta-GGA SCAN) data for SmPtF7 at its PBEsol-relaxed geometry, as listed in the Alexandria database.

Cell lengths 5.505, 8.947, 11.081 Å; angles 107.28, 90.00, 90.00 degrees
Fractional coordinates of all 36 atoms:
Sm  0.761  0.423  0.236
Sm  0.261  0.077  0.264
Sm  0.239  0.577  0.764
Sm  0.739  0.923  0.736
Pt  0.756  0.770  0.042
Pt  0.256  0.730  0.458
Pt  0.244  0.230  0.958
Pt  0.744  0.270  0.542
F  0.435  0.379  0.086
F  0.935  0.121  0.414
F  0.565  0.621  0.914
F  0.065  0.879  0.586
F  0.444  0.180  0.460
F  0.944  0.320  0.040
F  0.556  0.820  0.540
F  0.056  0.680  0.960
F  0.767  0.622  0.140
F  0.267  0.878  0.360
F  0.233  0.378  0.860
F  0.733  0.122  0.640
F  0.756  0.923  0.950
F  0.256  0.577  0.550
F  0.244  0.077  0.050
F  0.744  0.423  0.450
F  0.961  0.642  0.369
F  0.461  0.858  0.131
F  0.039  0.358  0.631
F  0.539  0.142  0.869
F  0.059  0.083  0.826
F  0.559  0.417  0.674
F  0.941  0.917  0.174
F  0.441  0.583  0.326
F  0.402  0.804  0.769
F  0.902  0.696  0.731
F  0.598  0.196  0.231
F  0.098  0.304  0.269

Results
Formation energy (no corrections) ... -2.7981 eV/atom
Total energy ... -18.2887 eV per atom
Crystal system ... monoclinic
Density ... 6.1 g/cm3
Volume ... 130 Å³/f.u.

Entry 6:
First-principles (meta-GGA SCAN) data for TcAuC2Br at its PBEsol-relaxed geometry, as listed in the Alexandria database.

Cell lengths 3.865, 3.865, 6.665 Å; angles 90.00, 90.00, 90.00 degrees
Fractional coordinates of all 5 atoms:
C  0.000  0.500  0.000
C  0.500  0.000  0.000
Au  0.000  0.000  0.000
Tc  0.500  0.500  0.500
Br  0.000  0.000  0.500

Results
Formation energy (no corrections) ... 2.3648 eV/atom
Total energy ... -26.4104 eV per atom
Crystal system ... tetragonal
Density ... 6.7 g/cm3
Volume ... 100 Å³/f.u.

Entry 7:
First-principles (meta-GGA SCAN) data for HgTeW2 at its PBEsol-relaxed geometry, as listed in the Alexandria database.

Cell lengths 3.084, 4.699, 5.390 Å; angles 100.10, 90.00, 109.16 degrees
Fractional coordinates of all 4 atoms:
Hg  0.000  0.000  0.500
Te  0.500  0.000  0.000
W  0.753  0.505  0.759
W  0.247  0.495  0.241

Results
Formation energy (no corrections) ... 1.0336 eV/atom
Total energy ... -60.1646 eV per atom
Crystal system ... monoclinic
Relative energy among the computed polymorphs ... 0.5416 eV/atom
Density ... 15.9 g/cm3
Volume ... 72 Å³/f.u.

Entry 8:
First-principles (meta-GGA SCAN) data for BeAlB3 at its PBEsol-relaxed geometry, as listed in the Alexandria database.

Cell lengths 3.636, 3.636, 3.636 Å; angles 90.00, 90.00, 90.00 degrees
Fractional coordinates of all 5 atoms:
Be  0.000  0.000  0.000
B  0.000  0.500  0.000
B  0.000  0.000  0.500
B  0.500  0.000  0.000
Al  0.500  0.500  0.500

Results
Total energy ... -5.4095 eV per atom
Crystal system ... cubic
Relative energy among the computed polymorphs ... 0.0000 eV/atom
Density ... 2.4 g/cm3
Volume ... 48 Å³/f.u.

Entry 9:
First-principles (meta-GGA SCAN) data for YInN2F at its PBEsol-relaxed geometry, as listed in the Alexandria database.

Cell lengths 4.081, 4.145, 4.145 Å; angles 90.00, 90.00, 90.00 degrees
Fractional coordinates of all 5 atoms:
Y  0.500  0.500  0.500
N  0.000  0.000  0.500
N  0.000  0.500  0.000
F  0.500  0.000  0.000
In  0.000  0.000  0.000

Results
Formation energy (no corrections) ... -0.7314 eV/atom
Total energy ... -17.4018 eV per atom
Crystal system ... tetragonal
Relative energy among the computed polymorphs ... 0.0000 eV/atom
Density ... 5.9 g/cm3
Volume ... 70 Å³/f.u.

Entry 10:
First-principles (meta-GGA SCAN) data for HgCOF2 at its PBEsol-relaxed geometry, as listed in the Alexandria database.

Cell lengths 2.723, 4.550, 4.550 Å; angles 90.00, 90.00, 90.00 degrees
Fractional coordinates of all 5 atoms:
C  0.000  0.000  0.000
Hg  0.500  0.500  0.500
O  0.500  0.000  0.000
F  0.000  0.000  0.500
F  0.000  0.500  0.000

Results
Formation energy (no corrections) ... 0.1527 eV/atom
Total energy ... -18.1627 eV per atom
Crystal system ... tetragonal
Density ... 7.9 g/cm3
Volume ... 56 Å³/f.u.

Entry 11:
First-principles (meta-GGA SCAN) data for Tl2ReBr at its PBEsol-relaxed geometry, as listed in the Alexandria database.

Cell lengths 3.323, 4.703, 5.754 Å; angles 90.00, 106.78, 90.00 degrees
Fractional coordinates of all 4 atoms:
Re  0.543  0.500  0.087
Tl  0.976  0.000  0.952
Tl  0.286  0.500  0.571
Br  0.700  0.000  0.400

Results
Formation energy (no corrections) ... 0.8485 eV/atom
Total energy ... -57.9699 eV per atom
Crystal system ... orthorhombic
Density ... 13.0 g/cm3
Volume ... 86 Å³/f.u.

Entry 12:
First-principles (meta-GGA SCAN) data for TcHgPtS2 at its PBEsol-relaxed geometry, as listed in the Alexandria database.

Cell lengths 4.772, 4.772, 5.024 Å; angles 90.00, 90.00, 90.00 degrees
Fractional coordinates of all 5 atoms:
S  0.000  0.500  0.000
S  0.500  0.000  0.000
Hg  0.000  0.000  0.000
Pt  0.000  0.000  0.500
Tc  0.500  0.500  0.500

Results
Formation energy (no corrections) ... 1.4676 eV/atom
Total energy ... -37.0674 eV per atom
Crystal system ... tetragonal
Density ... 8.1 g/cm3
Volume ... 114 Å³/f.u.

Entry 13:
First-principles (meta-GGA SCAN) data for TlBrO2 at its PBEsol-relaxed geometry, as listed in the Alexandria database.

Cell lengths 3.562, 3.562, 6.577 Å; angles 74.29, 74.29, 60.00 degrees
Fractional coordinates of all 4 atoms:
Tl  0.500  0.500  0.500
Br  0.000  0.000  0.000
O  0.890  0.890  0.330
O  0.110  0.110  0.670

Results
Formation energy (no corrections) ... -0.3784 eV/atom
Total energy ... -26.4485 eV per atom
Crystal system ... trigonal
Relative energy among the computed polymorphs ... 0.0000 eV/atom
Density ... 7.6 g/cm3
Volume ... 69 Å³/f.u.

Entry 14:
First-principles (meta-GGA SCAN) data for CdP4O11 at its PBEsol-relaxed geometry, as listed in the Alexandria database.

Cell lengths 9.468, 9.500, 10.987 Å; angles 108.85, 108.92, 90.28 degrees
Fractional coordinates of all 64 atoms:
Cd  0.740  0.741  0.980
Cd  0.227  0.764  0.488
Cd  0.773  0.236  0.512
Cd  0.260  0.259  0.020
P  0.892  0.587  0.229
P  0.770  0.916  0.607
P  0.428  0.745  0.080
P  0.897  0.267  0.089
P  0.744  0.585  0.437
P  0.560  0.932  0.762
P  0.419  0.591  0.277
P  0.914  0.063  0.253
P  0.086  0.937  0.747
P  0.581  0.409  0.723
P  0.440  0.068  0.238
P  0.256  0.415  0.563
P  0.103  0.733  0.911
P  0.572  0.255  0.920
P  0.230  0.084  0.393
P  0.108  0.413  0.771
O  0.825  0.913  0.193
O  0.779  0.985  0.507
O  0.912  0.954  0.743
O  0.778  0.585  0.098
O  0.493  0.903  0.191
O  0.820  0.638  0.350
O  0.902  0.410  0.215
O  0.637  0.963  0.659
O  0.741  0.738  0.551
O  0.973  0.744  0.956
O  0.468  0.635  0.162
O  0.250  0.740  0.037
O  0.681  0.913  0.880
O  0.813  0.474  0.496
O  0.857  0.136  0.133
O  0.574  0.531  0.346
O  0.398  0.730  0.378
O  0.925  0.174  0.388
O  0.514  0.290  0.035
O  0.955  0.329  0.715
O  0.423  0.823  0.682
O  0.697  0.541  0.791
O  0.303  0.459  0.209
O  0.577  0.177  0.318
O  0.045  0.671  0.285
O  0.486  0.710  0.965
O  0.075  0.826  0.612
O  0.602  0.270  0.622
O  0.426  0.469  0.654
O  0.143  0.864  0.867
O  0.187  0.526  0.504
O  0.319  0.087  0.120
O  0.750  0.260  0.963
O  0.532  0.365  0.838
O  0.027  0.256  0.044
O  0.259  0.262  0.449
O  0.363  0.037  0.341
O  0.098  0.590  0.785
O  0.180  0.362  0.650
O  0.507  0.097  0.809
O  0.222  0.415  0.902
O  0.088  0.046  0.257
O  0.221  0.015  0.493
O  0.175  0.087  0.807

Results
Formation energy (no corrections) ... -2.2192 eV/atom
Total energy ... -11.0038 eV per atom
Crystal system ... triclinic
Density ... 3.1 g/cm3
Volume ... 219 Å³/f.u.

Entry 15:
First-principles (meta-GGA SCAN) data for TaFePt2 at its PBEsol-relaxed geometry, as listed in the Alexandria database.

Cell lengths 3.824, 3.824, 4.786 Å; angles 113.55, 113.55, 90.00 degrees
Fractional coordinates of all 4 atoms:
Fe  0.500  0.500  0.000
Pt  0.750  0.250  0.500
Pt  0.250  0.750  0.500
Ta  0.000  0.000  0.000

Results
Total energy ... -57.0165 eV per atom
Crystal system ... tetragonal
Relative energy among the computed polymorphs ... 0.0000 eV/atom
Density ... 18.0 g/cm3
Volume ... 58 Å³/f.u.

Entry 16:
First-principles (meta-GGA SCAN) data for LiSc2Ta at its PBEsol-relaxed geometry, as listed in the Alexandria database.

Cell lengths 4.764, 4.764, 4.764 Å; angles 60.00, 60.00, 60.00 degrees
Fractional coordinates of all 4 atoms:
Li  0.500  0.500  0.500
Sc  0.000  0.000  0.000
Sc  0.750  0.750  0.750
Ta  0.250  0.250  0.250

Results
Total energy ... -23.8282 eV per atom
Crystal system ... cubic
Relative energy among the computed polymorphs ... 0.3224 eV/atom
Density ... 6.0 g/cm3
Volume ... 76 Å³/f.u.

Entry 17:
First-principles (meta-GGA SCAN) data for TaHg2Pb at its PBEsol-relaxed geometry, as listed in the Alexandria database.

Cell lengths 3.000, 3.000, 10.084 Å; angles 90.00, 90.00, 90.00 degrees
Fractional coordinates of all 4 atoms:
Hg  0.000  0.000  0.970
Hg  0.500  0.500  0.231
Pb  0.000  0.000  0.531
Ta  0.500  0.500  0.768

Results
Total energy ... -69.3329 eV per atom
Crystal system ... tetragonal
Density ... 14.4 g/cm3
Volume ... 91 Å³/f.u.

Entry 18:
First-principles (meta-GGA SCAN) data for Ca2AlIn at its PBEsol-relaxed geometry, as listed in the Alexandria database.

Cell lengths 3.728, 5.279, 5.279 Å; angles 90.00, 90.00, 90.00 degrees
Fractional coordinates of all 4 atoms:
Ca  0.000  0.000  0.500
Ca  0.000  0.500  0.000
Al  0.500  0.000  0.000
In  0.500  0.500  0.500

Results
Total energy ... -15.5053 eV per atom
Crystal system ... tetragonal
Relative energy among the computed polymorphs ... 0.0011 eV/atom
Density ... 3.5 g/cm3
Volume ... 104 Å³/f.u.

Entry 19:
First-principles (meta-GGA SCAN) data for Ag2PPt at its PBEsol-relaxed geometry, as listed in the Alexandria database.

Cell lengths 3.256, 4.413, 5.252 Å; angles 115.05, 108.06, 90.00 degrees
Fractional coordinates of all 4 atoms:
Ag  0.984  0.984  0.967
Ag  0.776  0.276  0.552
P  0.530  0.531  0.060
Pt  0.210  0.709  0.420

Results
Total energy ... -35.8264 eV per atom
Crystal system ... monoclinic
Density ... 11.4 g/cm3
Volume ... 64 Å³/f.u.

Entry 20:
First-principles (meta-GGA SCAN) data for Cr3RhS at its PBEsol-relaxed geometry, as listed in the Alexandria database.

Cell lengths 4.639, 4.639, 4.639 Å; angles 90.00, 90.00, 90.00 degrees
Fractional coordinates of all 5 atoms:
Cr  0.000  0.500  0.000
Cr  0.000  0.000  0.500
Cr  0.500  0.000  0.000
S  0.500  0.500  0.500
Rh  0.000  0.000  0.000

Results
Formation energy (no corrections) ... 0.8790 eV/atom
Total energy ... -18.8317 eV per atom
Crystal system ... cubic
Density ... 4.8 g/cm3
Volume ... 100 Å³/f.u.

Entry 21:
First-principles (meta-GGA SCAN) data for TcSbOs2 at its PBEsol-relaxed geometry, as listed in the Alexandria database.

Cell lengths 2.929, 4.604, 4.604 Å; angles 90.00, 90.00, 90.00 degrees
Fractional coordinates of all 4 atoms:
Os  0.000  0.000  0.500
Os  0.000  0.500  0.000
Sb  0.500  0.500  0.500
Tc  0.500  0.000  0.000

Results
Formation energy (no corrections) ... 0.7340 eV/atom
Total energy ... -53.2861 eV per atom
Crystal system ... tetragonal
Density ... 16.1 g/cm3
Volume ... 62 Å³/f.u.

Entry 22:
First-principles (meta-GGA SCAN) data for Fe3CuSi at its PBEsol-relaxed geometry, as listed in the Alexandria database.

Cell lengths 4.121, 4.121, 4.121 Å; angles 90.00, 90.00, 90.00 degrees
Fractional coordinates of all 5 atoms:
Si  0.000  0.000  0.000
Fe  0.000  0.500  0.000
Fe  0.000  0.000  0.500
Fe  0.500  0.000  0.000
Cu  0.500  0.500  0.500

Results
Formation energy (no corrections) ... 0.8790 eV/atom
Total energy ... -15.0418 eV per atom
Crystal system ... cubic
Density ... 6.1 g/cm3
Volume ... 70 Å³/f.u.

Entry 23:
First-principles (meta-GGA SCAN) data for RbSc2TeN at its PBEsol-relaxed geometry, as listed in the Alexandria database.

Cell lengths 4.469, 4.469, 5.674 Å; angles 90.00, 90.00, 90.00 degrees
Fractional coordinates of all 5 atoms:
Sc  0.000  0.500  0.000
Sc  0.500  0.000  0.000
Te  0.500  0.500  0.500
Rb  0.000  0.000  0.500
N  0.000  0.000  0.000

Results
Formation energy (no corrections) ... -0.7019 eV/atom
Total energy ... -19.8530 eV per atom
Crystal system ... tetragonal
Density ... 4.6 g/cm3
Volume ... 113 Å³/f.u.

Entry 24:
First-principles (meta-GGA SCAN) data for LiZn2Cd at its PBEsol-relaxed geometry, as listed in the Alexandria database.

Cell lengths 3.975, 3.975, 4.866 Å; angles 114.11, 114.11, 90.00 degrees
Fractional coordinates of all 4 atoms:
Zn  0.750  0.250  0.500
Zn  0.250  0.750  0.500
Cd  0.000  0.000  0.000
Li  0.500  0.500  0.000

Results
Total energy ... -15.0780 eV per atom
Crystal system ... tetragonal
Density ... 6.6 g/cm3
Volume ... 63 Å³/f.u.